Compound: InCIO2
Source: the Alexandria database
Functional: PBE
Structure: relaxed

Output
Final energy   -18.5 eV per cell
Formation energy (no corrections)   989 meV per atom
M_tot   0.98 μB per formula unit
Relative energy among the computed polymorphs   0.00 eV per formula unit

Cell and atoms, written as CIF:
```
data_InCIO2
_chemical_formula_sum 'In1 C1 I1 O2'
_space_group_name_H-M_alt 'P 4/m m m'
_space_group_IT_number 123
_space_group_name_Hall '-P 4 2'
_cell_length_a 3.961
_cell_length_b 3.961
_cell_length_c 6.353
_cell_angle_alpha 90.00
_cell_angle_beta 90.00
_cell_angle_gamma 90.00
loop_
_atom_site_label
_atom_site_type_symbol
_atom_site_fract_x
_atom_site_fract_y
_atom_site_fract_z
In1 In 0.000 0.000 0.000
C1 C 0.500 0.500 0.500
I1 I 0.000 0.000 0.500
O1 O 0.000 0.500 0.000
```

Compound: In2PtCI
Source: the Alexandria database
Functional: PBE
Structure: relaxed

Output
Final energy   -17.2 eV per cell
Formation energy (no corrections)   1008 meV per atom
M_tot   0.00 μB per formula unit

Cell and atoms, written as CIF:
```
data_In2PtCI
_chemical_formula_sum 'In2 Pt1 C1 I1'
_space_group_name_H-M_alt 'P 4/m m m'
_space_group_IT_number 123
_space_group_name_Hall '-P 4 2'
_cell_length_a 4.619
_cell_length_b 4.619
_cell_length_c 4.979
_cell_angle_alpha 90.00
_cell_angle_beta 90.00
_cell_angle_gamma 90.00
loop_
_atom_site_label
_atom_site_type_symbol
_atom_site_fract_x
_atom_site_fract_y
_atom_site_fract_z
In1 In 0.000 0.500 0.000
Pt1 Pt 0.000 0.000 0.500
C1 C 0.500 0.500 0.000
I1 I 0.500 0.500 0.500
```

Compound: InSb2CI
Source: the Alexandria database
Functional: PBE
Structure: relaxed

Output
Final energy   -17.0 eV per cell
Formation energy (no corrections)   956 meV per atom
M_tot   0.00 μB per formula unit
Relative energy among the computed polymorphs   0.00 eV per formula unit

Cell and atoms, written as CIF:
```
data_InSb2CI
_chemical_formula_sum 'In1 Sb2 C1 I1'
_space_group_name_H-M_alt 'P 4/m m m'
_space_group_IT_number 123
_space_group_name_Hall '-P 4 2'
_cell_length_a 4.883
_cell_length_b 4.883
_cell_length_c 5.173
_cell_angle_alpha 90.00
_cell_angle_beta 90.00
_cell_angle_gamma 90.00
loop_
_atom_site_label
_atom_site_type_symbol
_atom_site_fract_x
_atom_site_fract_y
_atom_site_fract_z
In1 In 0.000 0.000 0.000
Sb1 Sb 0.000 0.500 0.500
C1 C 0.500 0.500 0.500
I1 I 0.500 0.500 0.000
```

Compound: InSb2CI
Source: the Alexandria database
Functional: PBE
Structure: relaxed

Output
Final energy   -12.1 eV per cell
Formation energy (no corrections)   1922 meV per atom
M_tot   0.82 μB per formula unit
Relative energy among the computed polymorphs   4.83 eV per formula unit

Cell and atoms, written as CIF:
```
data_InSb2CI
_chemical_formula_sum 'In1 Sb2 C1 I1'
_space_group_name_H-M_alt 'P 4/m m m'
_space_group_IT_number 123
_space_group_name_Hall '-P 4 2'
_cell_length_a 5.710
_cell_length_b 5.710
_cell_length_c 5.865
_cell_angle_alpha 90.00
_cell_angle_beta 90.00
_cell_angle_gamma 90.00
loop_
_atom_site_label
_atom_site_type_symbol
_atom_site_fract_x
_atom_site_fract_y
_atom_site_fract_z
In1 In 0.000 0.000 0.000
Sb1 Sb 0.000 0.500 0.000
C1 C 0.500 0.500 0.500
I1 I 0.000 0.000 0.500
```

Compound: VInC2I
Source: the Alexandria database
Functional: PBE
Structure: relaxed

Output
Final energy   -18.3 eV per cell
Formation energy (no corrections)   2717 meV per atom
M_tot   0.00 μB per formula unit

Cell and atoms, written as CIF:
```
data_VInC2I
_chemical_formula_sum 'V1 In1 C2 I1'
_space_group_name_H-M_alt 'P 4/m m m'
_space_group_IT_number 123
_space_group_name_Hall '-P 4 2'
_cell_length_a 4.275
_cell_length_b 4.275
_cell_length_c 5.097
_cell_angle_alpha 90.00
_cell_angle_beta 90.00
_cell_angle_gamma 90.00
loop_
_atom_site_label
_atom_site_type_symbol
_atom_site_fract_x
_atom_site_fract_y
_atom_site_fract_z
V1 V 0.000 0.000 0.000
In1 In 0.500 0.500 0.000
C1 C 0.000 0.500 0.500
I1 I 0.000 0.000 0.500
```

Compound: IrC3I
Source: the Alexandria database
Functional: PBE
Structure: relaxed

Output
Final energy   -19.7 eV per cell
Formation energy (no corrections)   3682 meV per atom
M_tot   0.00 μB per formula unit
Relative energy among the computed polymorphs   7.53 eV per formula unit

Cell and atoms, written as CIF:
```
data_IrC3I
_chemical_formula_sum 'Ir1 C3 I1'
_space_group_name_H-M_alt 'P m -3 m'
_space_group_IT_number 221
_space_group_name_Hall '-P 4 2 3'
_cell_length_a 4.046
_cell_length_b 4.046
_cell_length_c 4.046
_cell_angle_alpha 90.00
_cell_angle_beta 90.00
_cell_angle_gamma 90.00
loop_
_atom_site_label
_atom_site_type_symbol
_atom_site_fract_x
_atom_site_fract_y
_atom_site_fract_z
Ir1 Ir 0.000 0.000 0.000
C1 C 0.000 0.500 0.500
I1 I 0.500 0.500 0.500
```

Compound: IrCI2
Source: the Alexandria database
Functional: PBE
Structure: relaxed

Output
Final energy   -49.8 eV per cell
Formation energy (no corrections)   2181 meV per atom
M_tot   0.00 μB per formula unit
Relative energy among the computed polymorphs   1.71 eV per formula unit

Cell and atoms, written as CIF:
```
data_IrCI2
_chemical_formula_sum 'Ir4 C4 I8'
_space_group_name_H-M_alt 'F m -3 m'
_space_group_IT_number 225
_space_group_name_Hall '-F 4 2 3'
_cell_length_a 6.749
_cell_length_b 6.749
_cell_length_c 6.749
_cell_angle_alpha 90.00
_cell_angle_beta 90.00
_cell_angle_gamma 90.00
loop_
_atom_site_label
_atom_site_type_symbol
_atom_site_fract_x
_atom_site_fract_y
_atom_site_fract_z
Ir1 Ir 0.000 0.000 0.000
C1 C 0.000 0.000 0.500
I1 I 0.250 0.250 0.250
```

Compound: IrCI3
Source: the Alexandria database
Functional: PBE
Structure: relaxed

Output
Final energy   -12.9 eV per cell
Formation energy (no corrections)   1967 meV per atom
M_tot   2.27 μB per formula unit
Relative energy among the computed polymorphs   1.06 eV per formula unit

Cell and atoms, written as CIF:
```
data_IrCI3
_chemical_formula_sum 'Ir1 C1 I3'
_space_group_name_H-M_alt 'P m -3 m'
_space_group_IT_number 221
_space_group_name_Hall '-P 4 2 3'
_cell_length_a 4.912
_cell_length_b 4.912
_cell_length_c 4.912
_cell_angle_alpha 90.00
_cell_angle_beta 90.00
_cell_angle_gamma 90.00
loop_
_atom_site_label
_atom_site_type_symbol
_atom_site_fract_x
_atom_site_fract_y
_atom_site_fract_z
Ir1 Ir 0.000 0.000 0.000
C1 C 0.500 0.500 0.500
I1 I 0.000 0.500 0.500
```

Compound: IrC3I
Source: the Alexandria database
Functional: PBE
Structure: relaxed

Output
Final energy   -27.2 eV per cell
Formation energy (no corrections)   2176 meV per atom
M_tot   0.00 μB per formula unit
Relative energy among the computed polymorphs   0.00 eV per formula unit

Cell and atoms, written as CIF:
```
data_IrC3I
_chemical_formula_sum 'Ir1 C3 I1'
_space_group_name_H-M_alt 'P m -3 m'
_space_group_IT_number 221
_space_group_name_Hall '-P 4 2 3'
_cell_length_a 4.098
_cell_length_b 4.098
_cell_length_c 4.098
_cell_angle_alpha 90.00
_cell_angle_beta 90.00
_cell_angle_gamma 90.00
loop_
_atom_site_label
_atom_site_type_symbol
_atom_site_fract_x
_atom_site_fract_y
_atom_site_fract_z
Ir1 Ir 0.000 0.000 0.000
C1 C 0.000 0.000 0.500
I1 I 0.500 0.500 0.500
```

Compound: IrCI3
Source: the Alexandria database
Functional: PBE
Structure: relaxed

Output
Final energy   -14.0 eV per cell
Formation energy (no corrections)   1755 meV per atom
M_tot   0.69 μB per formula unit
Relative energy among the computed polymorphs   0.00 eV per formula unit

Cell and atoms, written as CIF:
```
data_IrCI3
_chemical_formula_sum 'Ir1 C1 I3'
_space_group_name_H-M_alt 'P m -3 m'
_space_group_IT_number 221
_space_group_name_Hall '-P 4 2 3'
_cell_length_a 5.421
_cell_length_b 5.421
_cell_length_c 5.421
_cell_angle_alpha 90.00
_cell_angle_beta 90.00
_cell_angle_gamma 90.00
loop_
_atom_site_label
_atom_site_type_symbol
_atom_site_fract_x
_atom_site_fract_y
_atom_site_fract_z
Ir1 Ir 0.000 0.000 0.000
C1 C 0.500 0.500 0.500
I1 I 0.000 0.000 0.500
```

Compound: IrCI2
Source: the Alexandria database
Functional: PBE
Structure: relaxed

Output
Final energy   -56.7 eV per cell
Formation energy (no corrections)   1753 meV per atom
M_tot   0.00 μB per formula unit
Relative energy among the computed polymorphs   0.00 eV per formula unit

Cell and atoms, written as CIF:
```
data_IrCI2
_chemical_formula_sum 'Ir4 C4 I8'
_space_group_name_H-M_alt 'I -4 2 d'
_space_group_IT_number 122
_space_group_name_Hall 'I -4 2bw'
_cell_length_a 5.716
_cell_length_b 5.716
_cell_length_c 12.171
_cell_angle_alpha 90.00
_cell_angle_beta 90.00
_cell_angle_gamma 90.00
loop_
_atom_site_label
_atom_site_type_symbol
_atom_site_fract_x
_atom_site_fract_y
_atom_site_fract_z
Ir1 Ir 0.000 0.000 0.000
C1 C 0.000 0.000 0.500
I1 I 0.235 0.250 0.625
```

Compound: La2IrCI
Source: the Alexandria database
Functional: PBE
Structure: relaxed

Output
Final energy   -32.6 eV per cell
Formation energy (no corrections)   -625 meV per atom
M_tot   0.00 μB per formula unit

Cell and atoms, written as CIF:
```
data_La2IrCI
_chemical_formula_sum 'La2 Ir1 C1 I1'
_space_group_name_H-M_alt 'P 4/m m m'
_space_group_IT_number 123
_space_group_name_Hall '-P 4 2'
_cell_length_a 5.492
_cell_length_b 5.492
_cell_length_c 3.918
_cell_angle_alpha 90.00
_cell_angle_beta 90.00
_cell_angle_gamma 90.00
loop_
_atom_site_label
_atom_site_type_symbol
_atom_site_fract_x
_atom_site_fract_y
_atom_site_fract_z
La1 La 0.000 0.500 0.000
Ir1 Ir 0.000 0.000 0.500
C1 C 0.000 0.000 0.000
I1 I 0.500 0.500 0.500
```